No. 1
# TbHo2InRh4 (PBE-GGA, relaxed)
data_TbHo2InRh4
_cell_length_a 4.7754
_cell_length_b 4.7754
_cell_length_c 23.2600
_cell_angle_alpha 90.00
_cell_angle_beta 90.00
_cell_angle_gamma 120.00
_space_group_name_H-M_alt 'R -3 m'
_space_group_IT_number 166
_space_group_name_Hall '-R 3 2"'
loop_
_atom_site_label
_atom_site_fract_x
_atom_site_fract_y
_atom_site_fract_z
_atom_site_occupancy
Tb1 0.0000 0.0000 0.0000 1
Ho1 0.0000 0.0000 0.2449 1
In1 0.0000 0.0000 0.5000 1
Rh1 0.0000 0.0000 0.1239 1
Rh2 0.0000 0.0000 0.3760 1
# - VASP energy (eV/atom) = -6.56
# - energy of formation (eV/atom) = -0.8155

=====

No. 2
# PuPt4Pb (PBE-GGA, relaxed)
data_PuPt4Pb
_cell_length_a 7.727
_cell_length_b 7.727
_cell_length_c 7.727
_cell_angle_alpha 90.00
_cell_angle_beta 90.00
_cell_angle_gamma 90.00
_space_group_name_H-M_alt 'F -4 3 m'
_space_group_IT_number 216
_space_group_name_Hall 'F -4 2 3'
loop_
_atom_site_label
_atom_site_fract_x
_atom_site_fract_y
_atom_site_fract_z
_atom_site_occupancy
Pu1 0.000 0.000 0.000 1
Pt1 0.125 0.125 0.625 1
Pb1 0.250 0.250 0.250 1
# - VASP energy (eV/atom) = -7.58
# - energy of formation (eV/atom) = -0.5506

=====

No. 3
# ZrAl2Si2 (PBE-GGA, relaxed)
data_ZrAl2Si2
_cell_length_a 5.363
_cell_length_b 8.500
_cell_length_c 3.869
_cell_angle_alpha 90.00
_cell_angle_beta 90.00
_cell_angle_gamma 90.00
_space_group_name_H-M_alt 'C m m m'
_space_group_IT_number 65
_space_group_name_Hall '-C 2 2'
loop_
_atom_site_label
_atom_site_fract_x
_atom_site_fract_y
_atom_site_fract_z
_atom_site_occupancy
Zr1 0.000 0.000 0.000 1
Al1 0.250 0.250 0.500 1
Si1 0.000 0.362 0.000 1
# - VASP energy (eV/atom) = -5.54
# - E_form (uncorrected) (kJ/mol of formula units) = -80

=====

No. 4
# K3NaH4 (PBE-GGA, relaxed)
data_K3NaH4
_cell_length_a 5.463
_cell_length_b 5.463
_cell_length_c 5.463
_cell_angle_alpha 90.00
_cell_angle_beta 90.00
_cell_angle_gamma 90.00
_space_group_name_H-M_alt 'P m -3 m'
_space_group_IT_number 221
_space_group_name_Hall '-P 4 2 3'
loop_
_atom_site_label
_atom_site_fract_x
_atom_site_fract_y
_atom_site_fract_z
_atom_site_occupancy
K1 0.000 0.000 0.500 1
Na1 0.500 0.500 0.500 1
H1 0.000 0.000 0.000 1
H2 0.000 0.500 0.500 1
# - VASP energy (eV/atom) = -2.43
# - energy above the most stable polymorph in this dataset (eV per atom) = 0.007

=====

No. 5
# MgAg2BiO4 (PBE-GGA, relaxed)
data_MgAg2BiO4
_cell_length_a 7.441
_cell_length_b 9.609
_cell_length_c 5.259
_cell_angle_alpha 90.00
_cell_angle_beta 134.97
_cell_angle_gamma 90.00
_space_group_name_H-M_alt 'C 1 2 1'
_space_group_IT_number 5
loop_
_space_group_symop_operation_xyz
'x,y,z'
'-x,y,-z'
'x+1/2,y+1/2,z'
'-x+1/2,y+1/2,-z'
loop_
_atom_site_label
_atom_site_fract_x
_atom_site_fract_y
_atom_site_fract_z
_atom_site_occupancy
Mg1 0.000 0.000 0.000 1
Ag1 0.000 0.250 0.500 1
Ag2 0.000 0.499 0.000 1
Bi1 0.000 0.750 0.500 1
O1 0.201 0.882 0.965 1
O2 0.237 0.118 0.439 1
# - VASP energy (eV/atom) = -4.83
# - E_form (uncorrected) (kJ/mol of formula units) = -733

=====

No. 6
# YMg2Se (PBE-GGA, relaxed)
data_YMg2Se
_cell_length_a 4.151
_cell_length_b 4.151
_cell_length_c 5.585
_cell_angle_alpha 90.00
_cell_angle_beta 90.00
_cell_angle_gamma 90.00
_space_group_name_H-M_alt 'P 4/m m m'
_space_group_IT_number 123
_space_group_name_Hall '-P 4 2'
loop_
_atom_site_label
_atom_site_fract_x
_atom_site_fract_y
_atom_site_fract_z
_atom_site_occupancy
Y1 0.000 0.000 0.000 1
Mg1 0.000 0.500 0.500 1
Se1 0.500 0.500 0.000 1
# - VASP energy (eV/atom) = -3.81
# - E_form (uncorrected) (kJ/mol of formula units) = -203

=====

No. 7
# Sr2NiAg (PBE-GGA, relaxed)
data_Sr2NiAg
_cell_length_a 4.460
_cell_length_b 4.480
_cell_length_c 6.294
_cell_angle_alpha 90.00
_cell_angle_beta 90.00
_cell_angle_gamma 90.00
_space_group_name_H-M_alt 'P m m 2'
_space_group_IT_number 25
loop_
_space_group_symop_operation_xyz
'x,y,z'
'-x,-y,z'
'-x,y,z'
'x,-y,z'
loop_
_atom_site_label
_atom_site_fract_x
_atom_site_fract_y
_atom_site_fract_z
_atom_site_occupancy
Sr1 0.000 0.000 0.000 1
Sr2 0.500 0.500 0.489 1
Ni1 0.500 0.500 0.987 1
Ag1 0.000 0.000 0.503 1
# - VASP energy (eV/atom) = -2.89
# - energy of formation (eV/atom) = 0.1074

=====

No. 8
# Cs2TeBr6N (PBE-GGA, relaxed)
data_Cs2TeBr6N
_cell_length_a 8.483
_cell_length_b 8.483
_cell_length_c 10.389
_cell_angle_alpha 90.00
_cell_angle_beta 90.00
_cell_angle_gamma 90.00
_space_group_name_H-M_alt 'I 4/m m m'
_space_group_IT_number 139
_space_group_name_Hall '-I 4 2'
loop_
_atom_site_label
_atom_site_fract_x
_atom_site_fract_y
_atom_site_fract_z
_atom_site_occupancy
Cs1 0.000 0.500 0.250 1
Te1 0.000 0.000 0.000 1
Br1 0.000 0.000 0.285 1
Br2 0.228 0.228 0.000 1
N1 0.000 0.000 0.500 1
# - VASP energy (eV/atom) = -2.79
# - E_form (uncorrected) (kJ/mol of formula units) = -453